# 1
# Cs2Bi2Br7, optimized geometry, DFT PBE
# **Electronic total energy**: -32.37 eV/f.u.
# **Size of the total moment**: 0.0 μB/cell
# **Formation energy (no corrections)**: -1.02 eV per atom
# **Polymorph energy (0 for the lowest one)**: 0.346 eV per formula unit
data_Cs2Bi2Br7
_cell_length_a 13.055
_cell_length_b 9.511
_cell_length_c 7.585
_cell_angle_alpha 90.00
_cell_angle_beta 97.40
_cell_angle_gamma 90.00
_symmetry_space_group_name_H-M 'C 1 2/m 1'
_symmetry_Int_Tables_number 12
loop_
_symmetry_equiv_pos_as_xyz
'x,y,z'
'-x,-y,-z'
'-x,y,-z'
'x,-y,z'
'x+1/2,y+1/2,z'
'-x+1/2,-y+1/2,-z'
'-x+1/2,y+1/2,-z'
'x+1/2,-y+1/2,z'
loop_
_atom_site_label
_atom_site_fract_x
_atom_site_fract_y
_atom_site_fract_z
Cs1 0.000 0.222 0.000
Bi1 0.238 0.000 0.566
Br1 0.000 0.000 0.500
Br2 0.058 0.500 0.297
Br3 0.226 0.277 0.731

# 2
# CsBi2Br4, optimized geometry, DFT PBE
# **Electronic total energy**: -18.22 eV/f.u.
# **Size of the total moment**: 0.0 μB/cell
# **Formation energy (no corrections)**: -0.42 eV per atom
data_CsBi2Br4
_cell_length_a 6.925
_cell_length_b 6.925
_cell_length_c 15.889
_cell_angle_alpha 90.00
_cell_angle_beta 90.00
_cell_angle_gamma 90.00
_symmetry_space_group_name_H-M 'I 4/m m m'
_symmetry_Int_Tables_number 139
_symmetry_space_group_name_Hall '-I 4 2'
loop_
_atom_site_label
_atom_site_fract_x
_atom_site_fract_y
_atom_site_fract_z
Cs1 0.000 0.000 0.000
Bi1 0.000 0.000 0.410
Br1 0.000 0.000 0.244
Br2 0.000 0.500 0.000

# 3
# CsBiBr3, optimized geometry, DFT PBE
# **Electronic total energy**: -14.23 eV/f.u.
# **Size of the total moment**: 0.0 μB/cell
# **Formation energy (no corrections)**: -0.90 eV per atom
# **Polymorph energy (0 for the lowest one)**: 0.740 eV per formula unit
data_CsBiBr3
_cell_length_a 7.744
_cell_length_b 11.665
_cell_length_c 12.784
_cell_angle_alpha 90.00
_cell_angle_beta 90.00
_cell_angle_gamma 90.00
_symmetry_space_group_name_H-M 'I m m m'
_symmetry_Int_Tables_number 71
_symmetry_space_group_name_Hall '-I 2 2'
loop_
_atom_site_label
_atom_site_fract_x
_atom_site_fract_y
_atom_site_fract_z
Cs1 0.000 0.204 0.000
Bi1 0.000 0.000 0.308
Br1 0.000 0.157 0.500
Br2 0.238 0.500 0.336

# 4
# Cs2BiBr6, optimized geometry, DFT PBE
# **Electronic total energy**: -25.13 eV/f.u.
# **Size of the total moment**: 0.0 μB/cell
# **Formation energy (no corrections)**: -1.06 eV per atom
data_Cs2BiBr6
_cell_length_a 7.806
_cell_length_b 7.806
_cell_length_c 15.338
_cell_angle_alpha 90.00
_cell_angle_beta 90.00
_cell_angle_gamma 90.00
_symmetry_space_group_name_H-M 'P 42/m n m'
_symmetry_Int_Tables_number 136
_symmetry_space_group_name_Hall '-P 4n 2n'
loop_
_atom_site_label
_atom_site_fract_x
_atom_site_fract_y
_atom_site_fract_z
Cs1 0.000 0.000 0.166
Bi1 0.000 0.000 0.500
Br1 0.176 0.176 0.368
Br2 0.246 0.246 0.000

# 5
# CsBiBr2, optimized geometry, DFT PBE
# **Electronic total energy**: -10.28 eV/f.u.
# **Size of the total moment**: 8.0 μB/cell
# **Formation energy (no corrections)**: -0.55 eV per atom
# **Polymorph energy (0 for the lowest one)**: 2.164 eV per formula unit
data_CsBiBr2
_cell_length_a 8.437
_cell_length_b 8.437
_cell_length_c 8.437
_cell_angle_alpha 90.00
_cell_angle_beta 90.00
_cell_angle_gamma 90.00
_symmetry_space_group_name_H-M 'F m -3 m'
_symmetry_Int_Tables_number 225
_symmetry_space_group_name_Hall '-F 4 2 3'
loop_
_atom_site_label
_atom_site_fract_x
_atom_site_fract_y
_atom_site_fract_z
Cs1 0.000 0.000 0.000
Bi1 0.000 0.000 0.500
Br1 0.250 0.250 0.250

# 6
# Cs2Bi2Br7, optimized geometry, DFT PBE
# **Electronic total energy**: -32.71 eV/f.u.
# **Size of the total moment**: 0.0 μB/cell
# **Formation energy (no corrections)**: -1.05 eV per atom
# **Polymorph energy (0 for the lowest one)**: 0.000 eV per formula unit
data_Cs2Bi2Br7
_cell_length_a 11.277
_cell_length_b 18.125
_cell_length_c 4.977
_cell_angle_alpha 90.00
_cell_angle_beta 111.71
_cell_angle_gamma 90.00
_symmetry_space_group_name_H-M 'C 1 2/m 1'
_symmetry_Int_Tables_number 12
loop_
_symmetry_equiv_pos_as_xyz
'x,y,z'
'-x,-y,-z'
'-x,y,-z'
'x,-y,z'
'x+1/2,y+1/2,z'
'-x+1/2,-y+1/2,-z'
'-x+1/2,y+1/2,-z'
'x+1/2,-y+1/2,z'
loop_
_atom_site_label
_atom_site_fract_x
_atom_site_fract_y
_atom_site_fract_z
Cs1 0.000 0.190 0.000
Bi1 0.185 0.500 0.167
Br1 0.000 0.500 0.500
Br2 0.151 0.000 0.257
Br3 0.224 0.344 0.205

# 7
# Cs3Bi2Br9, optimized geometry, DFT PBE
# **Electronic total energy**: -42.91 eV/f.u.
# **Size of the total moment**: 0.0 μB/cell
# **Formation energy (no corrections)**: -1.25 eV per atom
# **Polymorph energy (0 for the lowest one)**: 0.000 eV per formula unit
data_Cs3Bi2Br9
_cell_length_a 8.0696
_cell_length_b 8.0696
_cell_length_c 20.8067
_cell_angle_alpha 90.00
_cell_angle_beta 90.00
_cell_angle_gamma 120.00
_symmetry_space_group_name_H-M 'P 63/m m c'
_symmetry_Int_Tables_number 194
_symmetry_space_group_name_Hall '-P 6c 2c'
loop_
_atom_site_label
_atom_site_fract_x
_atom_site_fract_y
_atom_site_fract_z
Cs1 0.0000 0.0000 0.2500
Cs2 0.3333 0.6667 0.0719
Bi1 0.3333 0.6667 0.6557
Br1 0.0008 0.5004 0.2500
Br2 0.1669 0.3338 0.5835

# 8
# CsBiBr2, optimized geometry, DFT PBE
# **Electronic total energy**: -12.42 eV/f.u.
# **Size of the total moment**: 0.0 μB/cell
# **Formation energy (no corrections)**: -1.09 eV per atom
# **Polymorph energy (0 for the lowest one)**: 0.025 eV per formula unit
data_CsBiBr2
_cell_length_a 4.594
_cell_length_b 9.434
_cell_length_c 9.580
_cell_angle_alpha 116.86
_cell_angle_beta 97.67
_cell_angle_gamma 99.40
_symmetry_space_group_name_H-M 'P 1'
_symmetry_Int_Tables_number 1
loop_
_symmetry_equiv_pos_as_xyz
'x,y,z'
loop_
_atom_site_label
_atom_site_fract_x
_atom_site_fract_y
_atom_site_fract_z
Cs1 0.000 0.000 0.000
Cs2 0.274 0.604 0.328
Bi1 0.146 0.132 0.634
Bi2 0.726 0.372 0.661
Br1 0.328 0.695 0.738
Br2 0.596 0.358 0.962
Br3 0.666 0.300 0.337
Br4 0.870 0.897 0.310

# 9
# Cs4BiBr5, optimized geometry, DFT PBE
# **Electronic total energy**: -29.14 eV/f.u.
# **Size of the total moment**: 0.0 μB/cell
# **Formation energy (no corrections)**: -1.35 eV per atom
data_Cs4BiBr5
_cell_length_a 10.249
_cell_length_b 10.249
_cell_length_c 10.193
_cell_angle_alpha 90.00
_cell_angle_beta 90.00
_cell_angle_gamma 90.00
_symmetry_space_group_name_H-M 'I 4'
_symmetry_Int_Tables_number 79
loop_
_symmetry_equiv_pos_as_xyz
'x,y,z'
'-y,x,z'
'-x,-y,z'
'y,-x,z'
'x+1/2,y+1/2,z+1/2'
'-y+1/2,x+1/2,z+1/2'
'-x+1/2,-y+1/2,z+1/2'
'y+1/2,-x+1/2,z+1/2'
loop_
_atom_site_label
_atom_site_fract_x
_atom_site_fract_y
_atom_site_fract_z
Cs1 0.108 0.289 0.000
Bi1 0.000 0.000 0.655
Br1 0.000 0.000 0.153
Br2 0.083 0.283 0.650

# 10
# CsBiBr2, optimized geometry, DFT PBE
# **Electronic total energy**: -10.96 eV/f.u.
# **Size of the total moment**: 0.0 μB/cell
# **Formation energy (no corrections)**: -0.72 eV per atom
# **Polymorph energy (0 for the lowest one)**: 1.487 eV per formula unit
data_CsBiBr2
_cell_length_a 6.549
_cell_length_b 6.549
_cell_length_c 18.792
_cell_angle_alpha 90.00
_cell_angle_beta 90.00
_cell_angle_gamma 90.00
_symmetry_space_group_name_H-M 'I -4 2 d'
_symmetry_Int_Tables_number 122
_symmetry_space_group_name_Hall 'I -4 2bw'
loop_
_atom_site_label
_atom_site_fract_x
_atom_site_fract_y
_atom_site_fract_z
Cs1 0.000 0.000 0.000
Bi1 0.000 0.000 0.500
Br1 0.155 0.250 0.625

# 11
# Cs3Bi2Br9, optimized geometry, DFT PBE
# **Electronic total energy**: -42.88 eV/f.u.
# **Size of the total moment**: 0.0 μB/cell
# **Formation energy (no corrections)**: -1.25 eV per atom
# **Polymorph energy (0 for the lowest one)**: 0.035 eV per formula unit
data_Cs3Bi2Br9
_cell_length_a 8.1859
_cell_length_b 8.1859
_cell_length_c 10.0891
_cell_angle_alpha 90.00
_cell_angle_beta 90.00
_cell_angle_gamma 120.00
_symmetry_space_group_name_H-M 'P -3 m 1'
_symmetry_Int_Tables_number 164
_symmetry_space_group_name_Hall '-P 3 2"'
loop_
_atom_site_label
_atom_site_fract_x
_atom_site_fract_y
_atom_site_fract_z
Cs1 0.0000 0.0000 0.0000
Cs2 0.3333 0.6667 0.3382
Bi1 0.3333 0.6667 0.8143
Br1 0.0000 0.5000 0.0000
Br2 0.1697 0.3395 0.6658

# 12
# CsBiBr3, optimized geometry, DFT PBE
# **Electronic total energy**: -14.97 eV/f.u.
# **Size of the total moment**: 0.0 μB/cell
# **Formation energy (no corrections)**: -1.04 eV per atom
# **Polymorph energy (0 for the lowest one)**: 0.000 eV per formula unit
data_CsBiBr3
_cell_length_a 5.952
_cell_length_b 5.952
_cell_length_c 5.952
_cell_angle_alpha 90.00
_cell_angle_beta 90.00
_cell_angle_gamma 90.00
_symmetry_space_group_name_H-M 'P m -3 m'
_symmetry_Int_Tables_number 221
_symmetry_space_group_name_Hall '-P 4 2 3'
loop_
_atom_site_label
_atom_site_fract_x
_atom_site_fract_y
_atom_site_fract_z
Cs1 0.000 0.000 0.000
Bi1 0.500 0.500 0.500
Br1 0.000 0.500 0.500